Crystalline PrHoPu2P4 at its relaxed geometry. Source: Alexandria, functional PBE.

a = 6.986 Å, b = 4.050 Å, c = 6.997 Å
α = 90.00°, β = 109.64°, γ = 90.00°
Space group P2/m (No. 10)
Symmetry-distinct sites (fractional):
Pr 0.000 0.000 0.000 x1
Ho 0.000 0.500 0.500 x1
Pu 0.500 0.000 0.500 x1
Pu 0.500 0.500 0.000 x1
P 0.257 0.000 0.747 x2
P 0.263 0.500 0.262 x2

The value obtained for the formation energy is -30.3 kcal/mol of atoms. The calculated density comes out at 8.2 g cm⁻³.